The following is a DFT calculation (GGA-PBE) of a geometry-optimized ScSnTe2N structure.

Properties
* total DFT energy (no corrections): -5.0126 eV per atom
* formation energy without anion corrections: -0.12 eV per formula unit
* excess energy over the best structure of this formula in the dataset: 0 meV per atom

Cell: 5.806 5.806 3.954 Å, 90.00 90.00 90.00°
Fractional coordinates of all 5 atoms:
Sc (0.000, 0.000, 0.000)
Sn (0.500, 0.500, 0.500)
Te (0.000, 0.500, 0.000)
Te (0.500, 0.000, 0.000)
N (0.000, 0.000, 0.500)

The following is a DFT calculation (GGA-PBE) of a geometry-optimized ScSnTeN2 structure.

Properties
* total DFT energy (no corrections): -5.2668 eV per atom
* formation energy without anion corrections: 3.79 eV per formula unit
* excess energy over the best structure of this formula in the dataset: 230 meV per atom

Cell: 4.144 4.144 5.948 Å, 90.00 90.00 90.00°
Fractional coordinates of all 5 atoms:
Sc (0.000, 0.000, 0.000)
Sn (0.500, 0.500, 0.500)
Te (0.500, 0.500, 0.000)
N (0.000, 0.500, 0.500)
N (0.500, 0.000, 0.500)

The following is a DFT calculation (GGA-PBE) of a geometry-optimized Th2ScSnN5 structure.

Properties
* total DFT energy (no corrections): -8.5545 eV per atom
* formation energy without anion corrections: -10.19 eV per formula unit

Cell: 7.197 7.197 10.489 Å, 90.00 90.00 151.89°
Fractional coordinates of all 18 atoms:
Th (0.117, 0.883, 0.500)
Th (0.141, 0.859, 0.094)
Th (0.859, 0.141, 0.594)
Th (0.883, 0.117, 0.000)
Sc (0.217, 0.783, 0.810)
Sc (0.783, 0.217, 0.310)
Sn (0.471, 0.529, 0.278)
Sn (0.529, 0.471, 0.778)
N (0.060, 0.940, 0.874)
N (0.283, 0.717, 0.469)
N (0.310, 0.690, 0.177)
N (0.369, 0.631, 0.822)
N (0.493, 0.507, 0.586)
N (0.507, 0.493, 0.086)
N (0.631, 0.369, 0.322)
N (0.690, 0.310, 0.677)
N (0.717, 0.283, 0.969)
N (0.940, 0.060, 0.374)

The following is a DFT calculation (GGA-PBE) of a geometry-optimized Sc2Ti2Sn2N structure.

Properties
* total DFT energy (no corrections): -7.3476 eV per atom
* formation energy without anion corrections: -6.65 eV per formula unit

Cell: 8.015 8.015 8.015 Å, 149.72 149.72 43.35°
Fractional coordinates of all 7 atoms:
Sc (0.154, 0.154, 0.000)
Sc (0.846, 0.846, 0.000)
Ti (0.000, 0.500, 0.500)
Ti (0.500, 0.000, 0.500)
Sn (0.359, 0.359, 0.000)
Sn (0.641, 0.641, 0.000)
N (0.000, 0.000, 0.000)

The following is a DFT calculation (GGA-PBE) of a geometry-optimized Sc2TiSnN structure.

Properties
* total DFT energy (no corrections): -7.6449 eV per atom
* formation energy without anion corrections: -5.34 eV per formula unit

Cell: 4.515 4.515 4.138 Å, 90.00 90.00 90.00°
Fractional coordinates of all 5 atoms:
Sc (0.000, 0.500, 0.000)
Sc (0.500, 0.000, 0.000)
Ti (0.000, 0.000, 0.500)
Sn (0.500, 0.500, 0.500)
N (0.000, 0.000, 0.000)

The following is a DFT calculation (GGA-PBE) of a geometry-optimized Sc4TlSnN structure.

Properties
* total DFT energy (no corrections): -6.6263 eV per atom
* formation energy without anion corrections: -6.36 eV per formula unit

Cell: 8.143 8.143 6.216 Å, 90.00 90.00 135.13°
Fractional coordinates of all 14 atoms:
Sc (0.000, 0.500, 0.000)
Sc (0.000, 0.500, 0.500)
Sc (0.094, 0.906, 0.750)
Sc (0.405, 0.595, 0.750)
Sc (0.500, 0.000, 0.000)
Sc (0.500, 0.000, 0.500)
Sc (0.595, 0.405, 0.250)
Sc (0.906, 0.094, 0.250)
Tl (0.106, 0.894, 0.250)
Tl (0.894, 0.106, 0.750)
Sn (0.394, 0.606, 0.250)
Sn (0.606, 0.394, 0.750)
N (0.250, 0.750, 0.750)
N (0.750, 0.250, 0.250)

The following is a DFT calculation (GGA-PBE) of a geometry-optimized TmSc2SnN structure.

Properties
* total DFT energy (no corrections): -7.0236 eV per atom
* formation energy without anion corrections: -5.66 eV per formula unit

Cell: 4.492 4.492 4.682 Å, 90.00 90.00 90.00°
Fractional coordinates of all 5 atoms:
Tm (0.000, 0.000, 0.000)
Sc (0.000, 0.500, 0.500)
Sc (0.500, 0.000, 0.500)
Sn (0.500, 0.500, 0.000)
N (0.000, 0.000, 0.500)

The following is a DFT calculation (GGA-PBE) of a geometry-optimized Sc2VSnN structure.

Properties
* total DFT energy (no corrections): -7.7413 eV per atom
* formation energy without anion corrections: -4.60 eV per formula unit

Cell: 4.551 4.551 3.925 Å, 90.00 90.00 90.00°
Fractional coordinates of all 5 atoms:
Sc (0.000, 0.500, 0.000)
Sc (0.500, 0.000, 0.000)
V (0.000, 0.000, 0.500)
Sn (0.500, 0.500, 0.500)
N (0.000, 0.000, 0.000)

The following is a DFT calculation (GGA-PBE) of a geometry-optimized Y2ScSnN structure.

Properties
* total DFT energy (no corrections): -7.4137 eV per atom
* formation energy without anion corrections: -5.48 eV per formula unit

Cell: 4.831 4.831 4.466 Å, 90.00 90.00 90.00°
Fractional coordinates of all 5 atoms:
Y (0.000, 0.500, 0.000)
Y (0.500, 0.000, 0.000)
Sc (0.000, 0.000, 0.500)
Sn (0.500, 0.500, 0.500)
N (0.000, 0.000, 0.000)

The following is a DFT calculation (GGA-PBE) of a geometry-optimized Y2Sc2Sn2N structure.

Properties
* total DFT energy (no corrections): -7.1042 eV per atom
* formation energy without anion corrections: -7.81 eV per formula unit

Cell: 8.536 8.536 8.536 Å, 149.78 149.78 43.26°
Fractional coordinates of all 7 atoms:
Y (0.161, 0.161, 0.000)
Y (0.839, 0.839, 0.000)
Sc (0.000, 0.500, 0.500)
Sc (0.500, 0.000, 0.500)
Sn (0.363, 0.363, 0.000)
Sn (0.637, 0.637, 0.000)
N (0.000, 0.000, 0.000)

The following is a DFT calculation (GGA-PBE) of a geometry-optimized Sc2ZnSnN structure.

Properties
* total DFT energy (no corrections): -6.0456 eV per atom
* formation energy without anion corrections: -3.96 eV per formula unit

Cell: 4.430 4.430 4.355 Å, 90.00 90.00 90.00°
Fractional coordinates of all 5 atoms:
Sc (0.000, 0.500, 0.000)
Sc (0.500, 0.000, 0.000)
Zn (0.000, 0.000, 0.500)
Sn (0.500, 0.500, 0.500)
N (0.000, 0.000, 0.000)

The following is a DFT calculation (GGA-PBE) of a geometry-optimized Zr2ScSnN structure.

Properties
* total DFT energy (no corrections): -8.0976 eV per atom
* formation energy without anion corrections: -4.73 eV per formula unit

Cell: 4.559 4.559 4.407 Å, 90.00 90.00 90.00°
Fractional coordinates of all 5 atoms:
Zr (0.000, 0.500, 0.000)
Zr (0.500, 0.000, 0.000)
Sc (0.000, 0.000, 0.500)
Sn (0.500, 0.500, 0.500)
N (0.000, 0.000, 0.000)

The following is a DFT calculation (GGA-PBE) of a geometry-optimized ZrSc2SnN structure.

Properties
* total DFT energy (no corrections): -7.7670 eV per atom
* formation energy without anion corrections: -5.30 eV per formula unit

Cell: 4.441 4.441 4.572 Å, 90.00 90.00 90.00°
Fractional coordinates of all 5 atoms:
Zr (0.000, 0.000, 0.000)
Sc (0.000, 0.500, 0.500)
Sc (0.500, 0.000, 0.500)
Sn (0.500, 0.500, 0.000)
N (0.000, 0.000, 0.500)

The following is a DFT calculation (GGA-PBE) of a geometry-optimized SrScN2 structure.

Properties
* total DFT energy (no corrections): -6.3104 eV per atom
* formation energy without anion corrections: -0.58 eV per formula unit

Cell: 4.254 4.254 4.254 Å, 60.00 60.00 60.00°
Fractional coordinates of all 4 atoms:
Sr (0.000, 0.000, 0.000)
Sc (0.500, 0.500, 0.500)
N (0.250, 0.250, 0.250)
N (0.750, 0.750, 0.750)

The following is a DFT calculation (GGA-PBE) of a geometry-optimized SrScN2 structure.

Properties
* total DFT energy (no corrections): -6.9350 eV per atom
* formation energy without anion corrections: -3.08 eV per formula unit

Cell: 6.455 6.455 6.455 Å, 130.83 130.83 72.08°
Fractional coordinates of all 8 atoms:
Sr (0.000, 0.000, 0.000)
Sr (0.750, 0.250, 0.500)
Sc (0.250, 0.750, 0.500)
Sc (0.500, 0.500, 0.000)
N (0.195, 0.625, 0.070)
N (0.375, 0.445, 0.570)
N (0.555, 0.125, 0.930)
N (0.875, 0.805, 0.430)

The following is a DFT calculation (GGA-PBE) of a geometry-optimized Sr2ScN structure.

Properties
* total DFT energy (no corrections): -4.8533 eV per atom
* formation energy without anion corrections: -1.39 eV per formula unit

Cell: 7.847 7.847 7.847 Å, 94.16 94.16 148.76°
Fractional coordinates of all 8 atoms:
Sr (0.375, 0.204, 0.329)
Sr (0.796, 0.125, 0.171)
Sr (0.875, 0.046, 0.671)
Sr (0.954, 0.625, 0.829)
Sc (0.250, 0.750, 0.500)
Sc (0.500, 0.500, 0.000)
N (0.000, 0.000, 0.000)
N (0.750, 0.250, 0.500)

The following is a DFT calculation (GGA-PBE) of a geometry-optimized SrSc2TcN4 structure.

Properties
* total DFT energy (no corrections): -8.2871 eV per atom
* formation energy without anion corrections: -8.28 eV per formula unit

Cell: 6.010 6.010 11.544 Å, 90.00 90.00 148.28°
Fractional coordinates of all 16 atoms:
Sr (0.079, 0.921, 0.750)
Sr (0.921, 0.079, 0.250)
Sc (0.372, 0.628, 0.539)
Sc (0.372, 0.628, 0.961)
Sc (0.628, 0.372, 0.039)
Sc (0.628, 0.372, 0.461)
Tc (0.185, 0.815, 0.250)
Tc (0.815, 0.185, 0.750)
N (0.000, 0.000, 0.000)
N (0.000, 0.000, 0.500)
N (0.259, 0.741, 0.106)
N (0.259, 0.741, 0.394)
N (0.413, 0.587, 0.750)
N (0.587, 0.413, 0.250)
N (0.741, 0.259, 0.606)
N (0.741, 0.259, 0.894)

The following is a DFT calculation (GGA-PBE) of a geometry-optimized SrScTe2N structure.

Properties
* total DFT energy (no corrections): -4.0343 eV per atom
* formation energy without anion corrections: 2.45 eV per formula unit
* excess energy over the best structure of this formula in the dataset: 1176 meV per atom

Cell: 6.080 6.080 4.619 Å, 90.00 90.00 90.00°
Fractional coordinates of all 5 atoms:
Sr (0.000, 0.000, 0.000)
Sc (0.500, 0.500, 0.500)
Te (0.000, 0.500, 0.000)
Te (0.500, 0.000, 0.000)
N (0.000, 0.000, 0.500)

The following is a DFT calculation (GGA-PBE) of a geometry-optimized SrScTe2N structure.

Properties
* total DFT energy (no corrections): -5.2099 eV per atom
* formation energy without anion corrections: -3.43 eV per formula unit
* excess energy over the best structure of this formula in the dataset: 0 meV per atom

Cell: 5.786 5.786 4.197 Å, 90.00 90.00 90.00°
Fractional coordinates of all 5 atoms:
Sr (0.000, 0.000, 0.000)
Sc (0.500, 0.500, 0.500)
Te (0.000, 0.500, 0.500)
Te (0.500, 0.000, 0.500)
N (0.500, 0.500, 0.000)

The following is a DFT calculation (GGA-PBE) of a geometry-optimized Sr2ScTlN structure.

Properties
* total DFT energy (no corrections): -4.7389 eV per atom
* formation energy without anion corrections: -3.31 eV per formula unit

Cell: 5.485 5.485 4.301 Å, 90.00 90.00 90.00°
Fractional coordinates of all 5 atoms:
Sr (0.000, 0.500, 0.000)
Sr (0.500, 0.000, 0.000)
Sc (0.000, 0.000, 0.500)
Tl (0.500, 0.500, 0.500)
N (0.000, 0.000, 0.000)